Material: SrMnTe2O6
Method: DFT, GGA+U
State: relaxed

Computed properties:
N(E_F), states/eV per cell: 0.00
Crystal system: monoclinic
Space group: No. 15
Uncorrected energy, eV/atom: -6.075

Structure (POSCAR):
```
SrMnTe2O6
1.0
-1.0066 3.7375 -5.5466
-5.8699 -3.1144 -2.6296
-3.9891 5.2847 2.6887
Te O Sr Mn
4 12 2 2
direct
0.6877 0.5720 0.7992
0.3123 0.4280 0.2008
0.8123 0.2008 0.4280
0.1877 0.7992 0.5720
0.7029 0.4046 0.2889
0.0800 0.6170 0.1777
0.4200 0.8223 0.3830
0.8427 0.0043 0.2323
0.9200 0.3830 0.8223
0.5800 0.1777 0.6170
0.7971 0.7111 0.5954
0.2971 0.5954 0.7111
0.6573 0.7677 0.9957
0.1573 0.9957 0.7677
0.3427 0.2323 0.0043
0.2029 0.2889 0.4046
0.2500 0.9099 0.0901
0.7500 0.0901 0.9099
0.7500 0.7050 0.2950
0.2500 0.2950 0.7050
```